# La3Rh

A relaxed La3Rh crystal (PBE, the Alexandria database).

Structure (POSCAR):
```
La3Rh
1.0
3.756 0.000 0.000
0.000 3.645 0.000
0.000 0.000 9.606
La Rh
3 1
Direct
0.500 0.000 0.761 La
0.000 0.500 0.465 La
0.500 0.500 0.126 La
0.000 0.000 0.981 Rh
```

Summary:
**Total energy**: -5.72 eV per atom
**Calculated formation energy**: -184 meV per atom
**SG**: Pmm2 (25)